[1]
The following is a DFT calculation (PBE) of a geometry-optimized RbCu2As structure. Values from VASP.

Geometry as Quantum ESPRESSO input:
```
&SYSTEM
  ibrav = 0, nat = 8, ntyp = 3
/
ATOMIC_SPECIES
Rb 85.47 Rb.upf
Cu 63.55 Cu.upf
As 74.92 As.upf
CELL_PARAMETERS angstrom
4.250 0.000 0.000
0.000 7.140 0.000
-2.122 0.000 6.471
ATOMIC_POSITIONS crystal
Rb 0.040 0.250 0.083
Rb 0.960 0.750 0.917
Cu 0.240 0.578 0.480
Cu 0.240 0.922 0.480
Cu 0.760 0.078 0.520
Cu 0.760 0.422 0.520
As 0.317 0.250 0.634
As 0.683 0.750 0.366
```

Output
VASP energy: -28.72 eV per cell
E_form: -0.548 eV per formula unit
Calculated density: 4.9 g/cm3

---

[2]
The following is a DFT calculation (PBE) of a geometry-optimized Rb5Cu3As3 structure. Values from VASP.

Geometry as Quantum ESPRESSO input:
```
&SYSTEM
  ibrav = 0, nat = 11, ntyp = 3
/
ATOMIC_SPECIES
Rb 85.47 Rb.upf
Cu 63.55 Cu.upf
As 74.92 As.upf
CELL_PARAMETERS angstrom
10.754 0.000 0.000
-5.377 9.313 0.000
0.000 0.000 4.445
ATOMIC_POSITIONS crystal
Rb 0.000 0.737 0.000
Rb 0.263 0.263 0.000
Rb 0.333 0.667 0.000
Rb 0.667 0.333 0.000
Rb 0.737 0.000 0.000
Cu 0.000 0.334 0.500
Cu 0.334 0.000 0.500
Cu 0.666 0.666 0.500
As 0.000 0.375 0.000
As 0.375 0.000 0.000
As 0.625 0.625 0.000
```

Output
VASP energy: -33.09 eV per cell
E_form: -2.011 eV per formula unit
Calculated density: 3.1 g/cm3

---

[3]
The following is a DFT calculation (PBE) of a geometry-optimized Rb2CuAs structure. Values from VASP.

Geometry as Quantum ESPRESSO input:
```
&SYSTEM
  ibrav = 0, nat = 8, ntyp = 3
/
ATOMIC_SPECIES
Rb 85.47 Rb.upf
Cu 63.55 Cu.upf
As 74.92 As.upf
CELL_PARAMETERS angstrom
-6.513 6.513 2.252
6.513 -6.513 2.252
6.513 6.513 -2.252
ATOMIC_POSITIONS crystal
Rb 0.375 0.142 0.267
Rb 0.858 0.125 0.233
Rb 0.875 0.108 0.733
Rb 0.892 0.625 0.767
Cu 0.000 0.000 0.000
Cu 0.750 0.250 0.500
As 0.250 0.750 0.500
As 0.500 0.500 0.000
```

Output
VASP energy: -22.62 eV per cell
E_form: -0.629 eV per formula unit
Calculated density: 2.7 g/cm3

---

[4]
The following is a DFT calculation (PBE) of a geometry-optimized RbCuReAs2 structure. Values from VASP.

Geometry as Quantum ESPRESSO input:
```
&SYSTEM
  ibrav = 0, nat = 5, ntyp = 4
/
ATOMIC_SPECIES
Rb 85.47 Rb.upf
Cu 63.55 Cu.upf
Re 186.21 Re.upf
As 74.92 As.upf
CELL_PARAMETERS angstrom
4.763 0.000 0.000
0.000 4.763 0.000
0.000 0.000 6.637
ATOMIC_POSITIONS crystal
Rb 0.000 0.000 0.000
Cu 0.500 0.500 0.000
Re 0.000 0.000 0.500
As 0.000 0.500 0.500
As 0.500 0.000 0.500
```

Output
VASP energy: -22.59 eV per cell
E_form: 4.222 eV per formula unit
Calculated density: 5.3 g/cm3

---

[5]
The following is a DFT calculation (PBE) of a geometry-optimized Rb2CuAsRu structure. Values from VASP.

Geometry as Quantum ESPRESSO input:
```
&SYSTEM
  ibrav = 0, nat = 5, ntyp = 4
/
ATOMIC_SPECIES
Rb 85.47 Rb.upf
Cu 63.55 Cu.upf
As 74.92 As.upf
Ru 101.07 Ru.upf
CELL_PARAMETERS angstrom
6.304 0.000 0.000
0.000 6.304 0.000
0.000 0.000 4.728
ATOMIC_POSITIONS crystal
Rb 0.000 0.500 0.000
Rb 0.500 0.000 0.000
Cu 0.000 0.000 0.000
As 0.500 0.500 0.500
Ru 0.000 0.000 0.500
```

Output
VASP energy: -14.52 eV per cell
E_form: 5.440 eV per formula unit
Calculated density: 3.6 g/cm3

---

[6]
The following is a DFT calculation (PBE) of a geometry-optimized Rb2CuAsS4 structure. Values from VASP.

Geometry as Quantum ESPRESSO input:
```
&SYSTEM
  ibrav = 0, nat = 16, ntyp = 4
/
ATOMIC_SPECIES
Rb 85.47 Rb.upf
Cu 63.55 Cu.upf
As 74.92 As.upf
S 32.06 S.upf
CELL_PARAMETERS angstrom
0.000 6.686 11.946
2.979 0.000 11.946
2.979 6.686 0.000
ATOMIC_POSITIONS crystal
Rb 0.054 0.054 0.696
Rb 0.304 0.304 0.946
Rb 0.696 0.696 0.054
Rb 0.946 0.946 0.304
Cu 0.125 0.125 0.125
Cu 0.875 0.875 0.875
As 0.375 0.375 0.375
As 0.625 0.625 0.625
S 0.003 0.647 0.558
S 0.292 0.558 0.647
S 0.353 0.997 0.708
S 0.442 0.708 0.997
S 0.558 0.292 0.003
S 0.647 0.003 0.292
S 0.708 0.442 0.353
S 0.997 0.353 0.442
```

Output
VASP energy: -63.87 eV per cell
E_form (uncorrected): -0.59 eV/atom
Calculated density: 3.1 g/cm3

---

[7]
The following is a DFT calculation (PBE) of a geometry-optimized RbCuAsS3 structure. Values from VASP.

Geometry as Quantum ESPRESSO input:
```
&SYSTEM
  ibrav = 0, nat = 12, ntyp = 4
/
ATOMIC_SPECIES
Rb 85.47 Rb.upf
Cu 63.55 Cu.upf
As 74.92 As.upf
S 32.06 S.upf
CELL_PARAMETERS angstrom
1.870 -7.428 0.000
1.870 7.428 0.000
0.000 0.000 9.991
ATOMIC_POSITIONS crystal
Rb 0.238 0.762 0.750
Rb 0.762 0.238 0.250
Cu 0.048 0.952 0.250
Cu 0.952 0.048 0.750
As 0.500 0.500 0.000
As 0.500 0.500 0.500
S 0.115 0.885 0.044
S 0.115 0.885 0.456
S 0.456 0.544 0.250
S 0.544 0.456 0.750
S 0.885 0.115 0.544
S 0.885 0.115 0.956
```

Output
VASP energy: -48.62 eV per cell
E_form (uncorrected): -0.37 eV/atom
Calculated density: 3.8 g/cm3

---

[8]
The following is a DFT calculation (PBE) of a geometry-optimized Rb2CuAsSe4 structure. Values from VASP.

Geometry as Quantum ESPRESSO input:
```
&SYSTEM
  ibrav = 0, nat = 16, ntyp = 4
/
ATOMIC_SPECIES
Rb 85.47 Rb.upf
Cu 63.55 Cu.upf
As 74.92 As.upf
Se 78.96 Se.upf
CELL_PARAMETERS angstrom
0.000 6.826 12.526
3.145 0.000 12.526
3.145 6.826 0.000
ATOMIC_POSITIONS crystal
Rb 0.057 0.057 0.693
Rb 0.307 0.307 0.943
Rb 0.693 0.693 0.057
Rb 0.943 0.943 0.307
Cu 0.125 0.125 0.125
Cu 0.875 0.875 0.875
As 0.375 0.375 0.375
As 0.625 0.625 0.625
Se 0.007 0.346 0.440
Se 0.292 0.560 0.654
Se 0.346 0.007 0.708
Se 0.440 0.708 0.007
Se 0.560 0.292 0.993
Se 0.654 0.993 0.292
Se 0.708 0.440 0.346
Se 0.993 0.654 0.560
```

Output
VASP energy: -57.81 eV per cell
E_form (uncorrected): -0.54 eV/atom
Calculated density: 3.9 g/cm3

---

[9]
The following is a DFT calculation (PBE) of a geometry-optimized Rb2Cu2AsSe4 structure. Values from VASP.

Geometry as Quantum ESPRESSO input:
```
&SYSTEM
  ibrav = 0, nat = 9, ntyp = 4
/
ATOMIC_SPECIES
Rb 85.47 Rb.upf
Cu 63.55 Cu.upf
As 74.92 As.upf
Se 78.96 Se.upf
CELL_PARAMETERS angstrom
4.779 0.000 0.000
2.223 6.680 0.000
2.291 1.884 8.384
ATOMIC_POSITIONS crystal
Rb 0.047 0.218 0.125
Rb 0.953 0.782 0.875
Cu 0.036 0.325 0.604
Cu 0.964 0.675 0.396
As 0.500 0.500 0.500
Se 0.367 0.655 0.191
Se 0.421 0.171 0.419
Se 0.579 0.829 0.581
Se 0.633 0.345 0.809
```

Output
VASP energy: -32.49 eV per cell
E_form (uncorrected): -0.42 eV/atom
Calculated density: 4.3 g/cm3

---

[10]
The following is a DFT calculation (PBE) of a geometry-optimized RbCu2AsSe4 structure. Values from VASP.

Geometry as Quantum ESPRESSO input:
```
&SYSTEM
  ibrav = 0, nat = 8, ntyp = 4
/
ATOMIC_SPECIES
Rb 85.47 Rb.upf
Cu 63.55 Cu.upf
As 74.92 As.upf
Se 78.96 Se.upf
CELL_PARAMETERS angstrom
-3.210 4.123 4.494
3.210 -4.123 4.494
3.210 4.123 -4.494
ATOMIC_POSITIONS crystal
Rb 0.000 0.000 0.000
Cu 0.352 0.852 0.500
Cu 0.648 0.148 0.500
As 0.500 0.500 0.000
Se 0.178 0.131 0.619
Se 0.489 0.869 0.048
Se 0.511 0.559 0.381
Se 0.822 0.441 0.952
```

Output
VASP energy: -30.31 eV per cell
E_form (uncorrected): -0.32 eV/atom
Calculated density: 4.2 g/cm3

---

[11]
The following is a DFT calculation (PBE) of a geometry-optimized RbCuAsSe2 structure. Values from VASP.

Geometry as Quantum ESPRESSO input:
```
&SYSTEM
  ibrav = 0, nat = 5, ntyp = 4
/
ATOMIC_SPECIES
Rb 85.47 Rb.upf
Cu 63.55 Cu.upf
As 74.92 As.upf
Se 78.96 Se.upf
CELL_PARAMETERS angstrom
6.045 0.000 0.000
0.000 6.045 0.000
0.000 0.000 6.208
ATOMIC_POSITIONS crystal
Rb 0.000 0.000 0.000
Cu 0.500 0.500 0.500
As 0.000 0.000 0.500
Se 0.000 0.500 0.000
Se 0.500 0.000 0.000
```

Output
VASP energy: -8.88 eV per cell
E_form (uncorrected): 1.56 eV/atom
Energy above the lowest structure with this stoichiometry: 1982 meV/atom
Calculated density: 2.8 g/cm3

---

[12]
The following is a DFT calculation (PBE) of a geometry-optimized RbCuAsSe2 structure. Values from VASP.

Geometry as Quantum ESPRESSO input:
```
&SYSTEM
  ibrav = 0, nat = 10, ntyp = 4
/
ATOMIC_SPECIES
Rb 85.47 Rb.upf
Cu 63.55 Cu.upf
As 74.92 As.upf
Se 78.96 Se.upf
CELL_PARAMETERS angstrom
8.142 0.000 0.000
0.000 4.159 0.000
-3.478 0.000 8.234
ATOMIC_POSITIONS crystal
Rb 0.000 0.157 0.250
Rb 0.000 0.843 0.750
Cu 0.500 0.000 0.000
Cu 0.500 0.000 0.500
As 0.500 0.287 0.750
As 0.500 0.713 0.250
Se 0.288 0.324 0.057
Se 0.288 0.676 0.557
Se 0.712 0.324 0.443
Se 0.712 0.676 0.943
```

Output
VASP energy: -37.58 eV per cell
E_form (uncorrected): -0.42 eV/atom
Energy above the lowest structure with this stoichiometry: 0 meV/atom
Calculated density: 4.5 g/cm3